# 1
Entry from the Alexandria database: Tb4SmRh5 after structural relaxation (PBE).

Properties
Its density of states at the Fermi level is 7.7 states/eV per cell. The crystal system is tetragonal. The calculation puts the final energy at -68.1 eV per cell. For the calculated formation energy, the calculation gives -0.810 eV per atom.

a = 3.4291 Å, b = 3.4291 Å, c = 17.5208 Å
α = 90.00°, β = 90.00°, γ = 90.00°
With the nearest neighbours (Å) after each atom.
Positions (direct):
Tb 0.0000 0.0000 0.0993  8 Rh 2.98
Tb 0.0000 0.0000 0.2981  8 Rh 2.97-2.99
Tb 0.0000 0.0000 0.7019  8 Rh 2.97-2.99
Tb 0.0000 0.0000 0.9007  8 Rh 2.98
Sm 0.0000 0.0000 0.5000  8 Rh 3.03
Rh 0.5000 0.5000 0.0000  8 Tb 2.98
Rh 0.5000 0.5000 0.1986  8 Tb 2.98-2.99
Rh 0.5000 0.5000 0.3962  4 Tb 2.97, 4 Sm 3.03
Rh 0.5000 0.5000 0.6038  4 Tb 2.97, 4 Sm 3.03
Rh 0.5000 0.5000 0.8014  8 Tb 2.98-2.99

***

# 2
Entry from the Alexandria database: Rb2CdI after structural relaxation (PBE).

Properties
The calculation puts the relative energy among the computed polymorphs at 0.0428 eV/atom. The value obtained for the energy relative to the elements, uncorrected is -60.77 kJ/mol of atoms. Its density of states at the Fermi level is 3.2 states/eV per cell. The crystal system is trigonal. The calculation puts the final energy at -6.9 eV per cell.

a = 10.1304 Å, b = 10.1304 Å, c = 10.1304 Å
α = 28.99°, β = 28.99°, γ = 28.99°
With the nearest neighbours (Å) after each atom.
Positions (direct):
Rb 0.0000 0.0000 0.0000  3 I 3.71, 3 Cd 3.91
Rb 0.1775 0.1775 0.1775  3 I 3.70, 3 Cd 3.90
Cd 0.4222 0.4222 0.4222  6 Rb 3.90-3.91
I 0.5884 0.5884 0.5884  6 Rb 3.70-3.71

***

# 3
Entry from the Alexandria database: PrTcGe3Ru after structural relaxation (PBE).

Properties
Its density of states at the Fermi level is 6.1 states/eV per cell. The crystal system is orthorhombic. The calculation puts the final energy at -79.6 eV per cell. For the calculated formation energy, the calculation gives -0.254 eV per atom.

a = 6.8471 Å, b = 6.8471 Å, c = 5.8292 Å
α = 90.00°, β = 90.00°, γ = 110.53°
With the nearest neighbours (Å) after each atom.
Positions (direct):
Pr 0.2468 0.7532 0.7500  2 Ge 2.91, 1 Ru 3.25
Pr 0.7532 0.2468 0.2500  2 Ge 2.91, 1 Ru 3.25
Tc 0.4515 0.5485 0.2500  5 Ge 2.31-2.50
Tc 0.5485 0.4515 0.7500  5 Ge 2.31-2.50
Ge 0.2464 0.7536 0.2500  1 Ru 2.30, 1 Tc 2.31
Ge 0.2500 0.2500 0.0000  2 Ru 2.48, 2 Tc 2.50
Ge 0.2500 0.2500 0.5000  2 Ru 2.48, 2 Tc 2.50
Ge 0.7500 0.7500 0.0000  2 Ru 2.48, 2 Tc 2.50
Ge 0.7500 0.7500 0.5000  2 Ru 2.48, 2 Tc 2.50
Ge 0.7536 0.2464 0.7500  1 Ru 2.30, 1 Tc 2.31
Ru 0.0417 0.9583 0.2500  5 Ge 2.30-2.48
Ru 0.9583 0.0417 0.7500  5 Ge 2.30-2.48

***

# 4
Entry from the Alexandria database: CsK2NaI after structural relaxation (PBE).

Properties
The calculation puts the relative energy among the computed polymorphs at 0.0770 eV/atom. The value obtained for the energy relative to the elements, uncorrected is -40.23 kJ/mol of atoms. Its density of states at the Fermi level is 3.1 states/eV per cell. The crystal system is tetragonal. The calculation puts the final energy at -8.0 eV per cell.

a = 7.0497 Å, b = 7.0497 Å, c = 6.8426 Å
α = 90.00°, β = 90.00°, γ = 90.00°
With the nearest neighbours (Å) after each atom.
Positions (direct):
Cs 0.0000 0.0000 0.0000  8 K 4.91, 4 Na 4.98
K 0.0000 0.5000 0.5000  2 I 3.52
K 0.5000 0.0000 0.5000  2 I 3.52
Na 0.5000 0.5000 0.0000  2 I 3.42
I 0.5000 0.5000 0.5000  2 Na 3.42, 4 K 3.52